A plane-wave DFT calculation with PBE was carried out for a relaxed structure of Sm4ZnPSe2.

Output
Its space group is No. 10. For the formation energy (no corrections), the calculation gives -1.372 eV/atom. As for the density of states at the Fermi level: 5.71 states/eV/f.u. The calculation puts the total DFT energy (no corrections) at -43.51 eV per cell.

abc: 7.2302 4.1173 7.2892
angles: 90.00 108.86 90.00
Sites, in units of the cell vectors:
Sm1 0.2377 0.0000 0.2379
Sm2 0.2435 0.5000 0.7515
Sm3 0.7565 0.5000 0.2485
Sm4 0.7623 0.0000 0.7621
Zn1 0.5000 0.0000 0.0000
P1 0.0000 0.5000 0.0000
Se1 0.0000 0.0000 0.5000
Se2 0.5000 0.5000 0.5000



A plane-wave DFT calculation with PBE was carried out for a relaxed structure of CsMg2Rh2.

Output
The calculation puts the formation energy at 184 meV/atom. Its space group is No. 127. As for the density of states at the Fermi level: 3.88 states/eV/f.u. The calculation puts the total DFT energy (no corrections) at -35.65 eV per cell.

abc: 8.3253 8.3253 3.0878
angles: 90.00 90.00 90.00
Sites, in units of the cell vectors:
Cs1 0.0000 0.0000 0.0000
Cs2 0.5000 0.5000 0.0000
Mg1 0.1320 0.3680 0.0000
Mg2 0.3680 0.8680 0.0000
Mg3 0.6320 0.1320 0.0000
Mg4 0.8680 0.6320 0.0000
Rh1 0.1409 0.6409 0.5000
Rh2 0.3591 0.1409 0.5000
Rh3 0.6409 0.8591 0.5000
Rh4 0.8591 0.3591 0.5000



A plane-wave DFT calculation with PBE was carried out for a relaxed structure of La2SmY9.

Output
The calculation puts the formation energy at 29 meV/atom. Its space group is No. 123. As for the density of states at the Fermi level: 19.75 states/eV/f.u. The calculation puts the total DFT energy (no corrections) at -72.40 eV per cell.

abc: 5.1032 5.1032 15.3229
angles: 90.00 90.00 90.00
Sites, in units of the cell vectors:
La1 0.0000 0.0000 0.1664
La2 0.0000 0.0000 0.8336
Sm1 0.0000 0.0000 0.5000
Y1 0.0000 0.5000 0.0000
Y2 0.0000 0.5000 0.3360
Y3 0.0000 0.5000 0.6640
Y4 0.5000 0.0000 0.0000
Y5 0.5000 0.0000 0.3360
Y6 0.5000 0.0000 0.6640
Y7 0.5000 0.5000 0.1683
Y8 0.5000 0.5000 0.5000
Y9 0.5000 0.5000 0.8317



A plane-wave DFT calculation with PBE was carried out for a relaxed structure of LaMg2W.

Output
The calculation puts the formation energy at 883 meV/atom. Its space group is No. 122. As for the density of states at the Fermi level: 5.02 states/eV/f.u. The calculation puts the total DFT energy (no corrections) at -35.07 eV per cell.

abc: 11.3655 11.3655 11.3655
angles: 158.56 158.56 30.50
Sites, in units of the cell vectors:
La1 0.0000 0.0000 0.0000
La2 0.7500 0.2500 0.5000
Mg1 0.1624 0.6250 0.0374
Mg2 0.3750 0.4124 0.5374
Mg3 0.5876 0.1250 0.9626
Mg4 0.8750 0.8376 0.4626
W1 0.2500 0.7500 0.5000
W2 0.5000 0.5000 0.0000



A plane-wave DFT calculation with PBE was carried out for a relaxed structure of YTlCr2.

Output
The calculation puts the formation energy at 487 meV/atom. Its space group is No. 139. As for the density of states at the Fermi level: 3.51 states/eV/f.u. The calculation puts the total DFT energy (no corrections) at -26.13 eV per cell.

abc: 5.2397 5.2397 5.2397
angles: 129.05 129.05 74.93
Sites, in units of the cell vectors:
Y1 0.0000 0.0000 0.0000
Tl1 0.5000 0.5000 0.0000
Cr1 0.2500 0.7500 0.5000
Cr2 0.7500 0.2500 0.5000



A plane-wave DFT calculation with PBE was carried out for a relaxed structure of CaTbOs.

Output
The calculation puts the formation energy at 144 meV/atom. Its space group is No. 64. As for the density of states at the Fermi level: 2.91 states/eV/f.u. The calculation puts the total DFT energy (no corrections) at -69.72 eV per cell.

abc: 7.3505 7.3505 7.7489
angles: 90.00 90.00 123.79
Sites, in units of the cell vectors:
Ca1 0.1965 0.8035 0.8899
Ca2 0.3035 0.6965 0.3899
Ca3 0.6965 0.3035 0.6101
Ca4 0.8035 0.1965 0.1101
Tb1 0.2101 0.2899 0.7500
Tb2 0.2899 0.2101 0.2500
Tb3 0.7101 0.7899 0.7500
Tb4 0.7899 0.7101 0.2500
Os1 0.0893 0.9107 0.5415
Os2 0.4107 0.5893 0.0415
Os3 0.5893 0.4107 0.9585
Os4 0.9107 0.0893 0.4585



A plane-wave DFT calculation with PBE was carried out for a relaxed structure of NaNpPdS2.

Output
Its space group is No. 13. For the formation energy (no corrections), the calculation gives -0.885 eV/atom. As for the density of states at the Fermi level: 7.72 states/eV/f.u. The calculation puts the total DFT energy (no corrections) at -64.26 eV per cell.

abc: 6.9004 4.8277 7.3358
angles: 90.00 99.48 90.00
Sites, in units of the cell vectors:
Na1 0.0000 0.1421 0.2500
Na2 0.0000 0.8579 0.7500
Np1 0.5000 0.4876 0.7500
Np2 0.5000 0.5124 0.2500
Pd1 0.5000 0.0000 0.0000
Pd2 0.5000 0.0000 0.5000
S1 0.2297 0.3054 0.9652
S2 0.2297 0.6946 0.4652
S3 0.7703 0.3054 0.5348
S4 0.7703 0.6946 0.0348



A plane-wave DFT calculation with PBE was carried out for a relaxed structure of RbCd3Pt.

Output
The calculation puts the formation energy at -138 meV/atom. Its space group is No. 15. As for the density of states at the Fermi level: 1.52 states/eV/f.u. The calculation puts the total DFT energy (no corrections) at -41.77 eV per cell.

abc: 9.4093 9.4093 6.1617
angles: 90.08 90.08 88.00
Sites, in units of the cell vectors:
Rb1 0.0413 0.2167 0.2485
Rb2 0.2167 0.0413 0.7485
Rb3 0.7833 0.9587 0.2515
Rb4 0.9587 0.7833 0.7515
Cd1 0.0102 0.3976 0.7492
Cd2 0.2483 0.5204 0.5035
Cd3 0.2481 0.5200 0.9964
Cd4 0.3976 0.0102 0.2492
Cd5 0.4800 0.7519 0.5036
Cd6 0.4796 0.7517 0.9965
Cd7 0.5204 0.2483 0.0035
Cd8 0.5200 0.2481 0.4964
Cd9 0.6024 0.9898 0.7508
Cd10 0.7519 0.4800 0.0036
Cd11 0.7517 0.4796 0.4965
Cd12 0.9898 0.6024 0.2508
Pt1 0.2157 0.7843 0.2500
Pt2 0.4992 0.5008 0.7500
Pt3 0.5008 0.4992 0.2500
Pt4 0.7843 0.2157 0.7500



A plane-wave DFT calculation with PBE was carried out for a relaxed structure of Er3HN2.

Output
Its space group is No. 63. As for the density of states at the Fermi level: 2.34 states/eV/f.u. The calculation puts the total DFT energy (no corrections) at -79.63 eV per cell.

abc: 6.0387 6.0387 10.5745
angles: 90.00 90.00 147.30
Sites, in units of the cell vectors:
Er1 0.1004 0.8996 0.7500
Er2 0.3841 0.6159 0.5780
Er3 0.3841 0.6159 0.9220
Er4 0.6159 0.3841 0.0780
Er5 0.6159 0.3841 0.4220
Er6 0.8996 0.1004 0.2500
H1 0.2361 0.7639 0.2500
H2 0.7639 0.2361 0.7500
N1 0.0000 0.0000 0.0000
N2 0.0000 0.0000 0.5000
N3 0.4856 0.5144 0.7500
N4 0.5144 0.4856 0.2500



A plane-wave DFT calculation with PBE was carried out for a relaxed structure of Sb2Au.

Output
Its space group is No. 141. For the formation energy (no corrections), the calculation gives 0.110 eV/atom. As for the density of states at the Fermi level: 1.40 states/eV/f.u. The calculation puts the total DFT energy (no corrections) at -44.77 eV per cell.

abc: 20.4360 20.4360 20.4360
angles: 168.98 168.98 15.61
Sites, in units of the cell vectors:
Sb1 0.1060 0.3560 0.7500
Sb2 0.2828 0.5328 0.7500
Sb3 0.3560 0.1060 0.2500
Sb4 0.4672 0.7172 0.7500
Sb5 0.5328 0.2828 0.2500
Sb6 0.6440 0.8940 0.7500
Sb7 0.7172 0.4672 0.2500
Sb8 0.8940 0.6440 0.2500
Au1 0.0539 0.8039 0.2500
Au2 0.1961 0.9461 0.2500
Au3 0.8039 0.0539 0.7500
Au4 0.9461 0.1961 0.7500



A plane-wave DFT calculation with PBE was carried out for a relaxed structure of Sm8Tl2Pd.

Output
The calculation puts the formation energy at -254 meV/atom. Its space group is No. 12. As for the density of states at the Fermi level: 11.63 states/eV/f.u. The calculation puts the total DFT energy (no corrections) at -50.47 eV per cell.

abc: 9.9556 9.9556 6.9178
angles: 102.12 102.12 30.00
Sites, in units of the cell vectors:
Sm1 0.0165 0.0165 0.2739
Sm2 0.2085 0.2085 0.8189
Sm3 0.3511 0.3511 0.5095
Sm4 0.4095 0.4095 0.0337
Sm5 0.5905 0.5905 0.9663
Sm6 0.6489 0.6489 0.4905
Sm7 0.7915 0.7915 0.1811
Sm8 0.9835 0.9835 0.7261
Tl1 0.1846 0.1846 0.2597
Tl2 0.8154 0.8154 0.7403
Pd1 0.5000 0.5000 0.5000



A plane-wave DFT calculation with PBE was carried out for a relaxed structure of ZrTiRe2Cl.

Output
Its space group is No. 123. For the formation energy (no corrections), the calculation gives 1.754 eV/atom. As for the density of states at the Fermi level: 6.36 states/eV/f.u. The calculation puts the total DFT energy (no corrections) at -34.42 eV per cell.

abc: 4.8644 4.8644 4.7825
angles: 90.00 90.00 90.00
Sites, in units of the cell vectors:
Zr1 0.0000 0.0000 0.0000
Ti1 0.5000 0.5000 0.5000
Re1 0.0000 0.5000 0.0000
Re2 0.5000 0.0000 0.0000
Cl1 0.0000 0.0000 0.5000



A plane-wave DFT calculation with PBE was carried out for a relaxed structure of HoTm4MgS8.

Output
Its space group is No. 160. For the formation energy (no corrections), the calculation gives -1.918 eV/atom. As for the density of states at the Fermi level: 3.20 states/eV/f.u. The calculation puts the total DFT energy (no corrections) at -83.93 eV per cell.

abc: 7.8895 7.8895 7.8895
angles: 59.95 59.95 59.95
Sites, in units of the cell vectors:
Ho1 0.0000 0.0000 0.0000
Tm1 0.0000 0.0000 0.4894
Tm2 0.0000 0.4894 0.0000
Tm3 0.4894 0.0000 0.0000
Tm4 0.6224 0.6224 0.6224
Mg1 0.3725 0.3725 0.3725
S1 0.2232 0.7542 0.7542
S2 0.2428 0.2428 0.2428
S3 0.2441 0.2441 0.7606
S4 0.2441 0.7606 0.2441
S5 0.7542 0.2232 0.7542
S6 0.7542 0.7542 0.2232
S7 0.7558 0.7558 0.7558
S8 0.7606 0.2441 0.2441



A plane-wave DFT calculation with PBE was carried out for a relaxed structure of K5Tl2Au.

Output
The calculation puts the formation energy at -110 meV/atom. Its space group is No. 63. As for the density of states at the Fermi level: 3.31 states/eV/f.u. The calculation puts the total DFT energy (no corrections) at -28.76 eV per cell.

abc: 6.9901 6.9901 22.3560
angles: 90.00 90.00 139.29
Sites, in units of the cell vectors:
K1 0.0112 0.9888 0.7500
K2 0.1459 0.8541 0.5557
K3 0.1459 0.8541 0.9443
K4 0.4152 0.5848 0.6226
K5 0.4152 0.5848 0.8774
K6 0.5848 0.4152 0.1226
K7 0.5848 0.4152 0.3774
K8 0.8541 0.1459 0.0557
K9 0.8541 0.1459 0.4443
K10 0.9888 0.0112 0.2500
Tl1 0.2780 0.7220 0.1769
Tl2 0.2780 0.7220 0.3231
Tl3 0.7220 0.2780 0.6769
Tl4 0.7220 0.2780 0.8231
Au1 0.2705 0.7296 0.7500
Au2 0.7296 0.2705 0.2500



A plane-wave DFT calculation with PBE was carried out for a relaxed structure of Ac8NiPd3I3.

Output
Its space group is No. 12. For the formation energy (no corrections), the calculation gives -0.773 eV/atom. As for the density of states at the Fermi level: 9.85 states/eV/f.u. The calculation puts the total DFT energy (no corrections) at -70.47 eV per cell.

abc: 8.9442 8.9442 10.0170
angles: 116.61 116.61 59.95
Sites, in units of the cell vectors:
Ac1 0.2248 0.2248 0.6842
Ac2 0.2246 0.7349 0.6838
Ac3 0.2651 0.7754 0.3162
Ac4 0.2696 0.2696 0.3092
Ac5 0.7304 0.7304 0.6908
Ac6 0.7349 0.2246 0.6838
Ac7 0.7754 0.2651 0.3162
Ac8 0.7752 0.7752 0.3158
Ni1 0.0000 0.0000 0.5000
Pd1 0.0000 0.5000 0.5000
Pd2 0.5000 0.0000 0.5000
Pd3 0.5000 0.5000 0.5000
I1 0.0000 0.0000 0.0000
I2 0.0000 0.5000 0.0000
I3 0.5000 0.0000 0.0000



A plane-wave DFT calculation with PBE was carried out for a relaxed structure of YPuTlCl6.

Output
Its space group is No. 163. For the formation energy (no corrections), the calculation gives -1.844 eV/atom. As for the density of states at the Fermi level: 15.51 states/eV/f.u. The calculation puts the total DFT energy (no corrections) at -101.68 eV per cell.

abc: 7.1768 7.1768 13.9670
angles: 90.00 90.00 120.00
Sites, in units of the cell vectors:
Y1 0.3333 0.6667 0.2500
Y2 0.6667 0.3333 0.7500
Pu1 0.3333 0.6667 0.7500
Pu2 0.6667 0.3333 0.2500
Tl1 0.0000 0.0000 0.0000
Tl2 0.0000 0.0000 0.5000
Cl1 0.0166 0.3758 0.1395
Cl2 0.0166 0.6407 0.3605
Cl3 0.3593 0.3758 0.3605
Cl4 0.3593 0.9834 0.1395
Cl5 0.3758 0.0166 0.6395
Cl6 0.3758 0.3593 0.8605
Cl7 0.6242 0.6407 0.1395
Cl8 0.6242 0.9834 0.3605
Cl9 0.6407 0.0166 0.8605
Cl10 0.6407 0.6242 0.6395
Cl11 0.9834 0.3593 0.6395
Cl12 0.9834 0.6242 0.8605



A plane-wave DFT calculation with PBE was carried out for a relaxed structure of CaPrBi2O6.

Output
Its space group is No. 31. For the formation energy (no corrections), the calculation gives -2.015 eV/atom. As for the density of states at the Fermi level: 2.72 states/eV/f.u. The calculation puts the total DFT energy (no corrections) at -128.88 eV per cell.

abc: 8.6366 6.2033 5.9030
angles: 90.00 90.00 90.00
Sites, in units of the cell vectors:
Ca1 0.0000 0.2041 0.0000
Ca2 0.5000 0.7959 0.5000
Pr1 0.0000 0.6849 0.5327
Pr2 0.5000 0.3151 0.0327
Bi1 0.2495 0.2448 0.5111
Bi2 0.2505 0.7552 0.0111
Bi3 0.7505 0.2448 0.5111
Bi4 0.7495 0.7552 0.0111
O1 0.0000 0.3191 0.3728
O2 0.0000 0.8212 0.1517
O3 0.1729 0.4479 0.8151
O4 0.1802 0.9326 0.6871
O5 0.3198 0.0674 0.1871
O6 0.3271 0.5521 0.3151
O7 0.5000 0.1788 0.6517
O8 0.5000 0.6809 0.8728
O9 0.6729 0.5521 0.3151
O10 0.6802 0.0674 0.1871
O11 0.8198 0.9326 0.6871
O12 0.8271 0.4479 0.8151



A plane-wave DFT calculation with PBE was carried out for a relaxed structure of PSe2SBr.

Output
Its space group is No. 123. For the formation energy (no corrections), the calculation gives 0.768 eV/atom. As for the density of states at the Fermi level: 3.64 states/eV/f.u. The calculation puts the total DFT energy (no corrections) at -14.34 eV per cell.

abc: 4.9174 4.9174 4.8149
angles: 90.00 90.00 90.00
Sites, in units of the cell vectors:
P1 0.0000 0.0000 0.0000
Se1 0.0000 0.5000 0.0000
Se2 0.5000 0.0000 0.0000
S1 0.5000 0.5000 0.5000
Br1 0.0000 0.0000 0.5000



A plane-wave DFT calculation with PBE was carried out for a relaxed structure of TbThSc2.

Output
The calculation puts the formation energy at 59 meV/atom. Its space group is No. 225. As for the density of states at the Fermi level: 6.70 states/eV/f.u. The calculation puts the total DFT energy (no corrections) at -24.48 eV per cell.

abc: 5.4239 5.4239 5.4239
angles: 60.00 60.00 60.00
Sites, in units of the cell vectors:
Tb1 0.0000 0.0000 0.0000
Th1 0.5000 0.5000 0.5000
Sc1 0.2500 0.2500 0.2500
Sc2 0.7500 0.7500 0.7500



A plane-wave DFT calculation with PBE was carried out for a relaxed structure of LaAl2Cl.

Output
Its space group is No. 123. For the formation energy (no corrections), the calculation gives -0.098 eV/atom. As for the density of states at the Fermi level: 2.11 states/eV/f.u. The calculation puts the total DFT energy (no corrections) at -14.65 eV per cell.

abc: 3.3428 3.3428 8.5525
angles: 90.00 90.00 90.00
Sites, in units of the cell vectors:
La1 0.0000 0.0000 0.0000
Al1 0.5000 0.5000 0.2637
Al2 0.5000 0.5000 0.7363
Cl1 0.0000 0.0000 0.5000



A plane-wave DFT calculation with PBE was carried out for a relaxed structure of La3Tb6Nd2Er.

Output
The calculation puts the formation energy at 16 meV/atom. Its space group is No. 12. As for the density of states at the Fermi level: 16.04 states/eV/f.u. The calculation puts the total DFT energy (no corrections) at -56.48 eV per cell.

abc: 6.2842 6.2842 11.9510
angles: 95.02 95.02 120.01
Sites, in units of the cell vectors:
La1 0.0000 0.0000 0.0000
La2 0.3331 0.6669 0.0000
La3 0.6669 0.3331 0.0000
Tb1 0.0856 0.4180 0.2534
Tb2 0.2497 0.2497 0.7468
Tb3 0.4180 0.0856 0.2534
Tb4 0.5820 0.9144 0.7466
Tb5 0.7503 0.7503 0.2532
Tb6 0.9144 0.5820 0.7466
Nd1 0.1664 0.8336 0.5000
Nd2 0.8336 0.1664 0.5000
Er1 0.5000 0.5000 0.5000